{"formula": "K2WO4", "functional": "PBE+U", "state": "optimized geometry", "final_energy_ev_per_atom": -6.2312, "e_above_lowest_polymorph_ev_per_atom": 0.000, "space_group": "No. 12", "cell": [[7.037, -0.008, 0.008], [4.226, 5.627, 0.008], [3.041, 1.517, 6.909]], "species": ["K", "K", "K", "K", "W", "W", "O", "O", "O", "O", "O", "O", "O", "O"], "frac_coords": [[0.507, 0.507, 0.767], [0.493, 0.493, 0.233], [0.156, 0.156, 0.251], [0.844, 0.844, 0.749], [0.177, 0.177, 0.770], [0.823, 0.823, 0.230], [0.379, 0.906, 0.922], [0.094, 0.621, 0.078], [0.621, 0.094, 0.078], [0.906, 0.379, 0.922], [0.911, 0.911, 0.365], [0.089, 0.089, 0.635], [0.335, 0.335, 0.613], [0.665, 0.665, 0.387]]}